1.
Material: RbPmTl
Method: DFT, PBE-GGA
State: relaxed

Structure (CIF):
```
data_RbPmTl
_chemical_formula_sum 'Rb4 Pm4 Tl4'
_cell_length_a 7.991
_cell_length_b 7.991
_cell_length_c 7.991
_cell_angle_alpha 90.00
_cell_angle_beta 90.00
_cell_angle_gamma 90.00
_space_group_name_H-M_alt 'F -4 3 m'
_space_group_IT_number 216
_space_group_name_Hall 'F -4 2 3'
loop_
_atom_site_label
_atom_site_fract_x
_atom_site_fract_y
_atom_site_fract_z
Rb1 0.000 0.000 0.000
Pm1 0.000 0.000 0.500
Tl1 0.250 0.250 0.750
```

Properties
Distance to the lowest polymorph of the same formula   0.000 eV per atom
Crystal system   cubic

***

2.
Material: Ge3OsC
Method: DFT, PBE-GGA
State: relaxed

Structure (CIF):
```
data_Ge3OsC
_chemical_formula_sum 'Ge3 Os1 C1'
_cell_length_a 4.190
_cell_length_b 4.190
_cell_length_c 4.190
_cell_angle_alpha 90.00
_cell_angle_beta 90.00
_cell_angle_gamma 90.00
_space_group_name_H-M_alt 'P m -3 m'
_space_group_IT_number 221
_space_group_name_Hall '-P 4 2 3'
loop_
_atom_site_label
_atom_site_fract_x
_atom_site_fract_y
_atom_site_fract_z
Ge1 0.000 0.000 0.500
Os1 0.500 0.500 0.500
C1 0.000 0.000 0.000
```

Properties
Total energy   -5.6048 eV/atom
Crystal system   cubic

***

3.
Material: NdZnAsO
Method: DFT, PBE-GGA
State: relaxed

Structure (CIF):
```
data_NdZnAsO
_chemical_formula_sum 'Nd2 Zn2 As2 O2'
_cell_length_a 4.410
_cell_length_b 6.343
_cell_length_c 6.052
_cell_angle_alpha 90.00
_cell_angle_beta 90.00
_cell_angle_gamma 90.00
_space_group_name_H-M_alt 'P m c 21'
_space_group_IT_number 26
loop_
_space_group_symop_operation_xyz
'x,y,z'
'-x,-y,z+1/2'
'-x,y,z'
'x,-y,z+1/2'
loop_
_atom_site_label
_atom_site_fract_x
_atom_site_fract_y
_atom_site_fract_z
Nd1 0.000 0.245 0.000
Zn1 0.500 0.361 0.610
As1 0.000 0.226 0.498
O1 0.500 0.347 0.960
```

Properties
Total energy   -5.4740 eV/atom
Crystal system   orthorhombic

***

4.
Material: DyTmNi2As2
Method: DFT, PBE-GGA
State: relaxed

Structure (CIF):
```
data_DyTmNi2As2
_chemical_formula_sum 'Dy2 Tm2 Ni4 As4'
_cell_length_a 4.0508
_cell_length_b 4.0508
_cell_length_c 15.1623
_cell_angle_alpha 90.00
_cell_angle_beta 90.00
_cell_angle_gamma 120.00
_space_group_name_H-M_alt 'P 63/m m c'
_space_group_IT_number 194
_space_group_name_Hall '-P 6c 2c'
loop_
_atom_site_label
_atom_site_fract_x
_atom_site_fract_y
_atom_site_fract_z
Dy1 0.0000 0.0000 0.0000
Tm1 0.0000 0.0000 0.2500
Ni1 0.3333 0.6667 0.1374
As1 0.3333 0.6667 0.6213
```

Properties
Distance to the lowest polymorph of the same formula   0.000 eV per atom
Crystal system   hexagonal

***

5.
Material: K3RbCd2Sn2
Method: DFT, PBE-GGA
State: relaxed

Structure (CIF):
```
data_K3RbCd2Sn2
_chemical_formula_sum 'K3 Rb1 Cd2 Sn2'
_cell_length_a 6.902
_cell_length_b 6.580
_cell_length_c 7.024
_cell_angle_alpha 90.00
_cell_angle_beta 105.07
_cell_angle_gamma 90.00
_space_group_name_H-M_alt 'P 1 m 1'
_space_group_IT_number 6
loop_
_space_group_symop_operation_xyz
'x,y,z'
'x,-y,z'
loop_
_atom_site_label
_atom_site_fract_x
_atom_site_fract_y
_atom_site_fract_z
K1 0.000 0.000 0.000
K2 0.290 0.500 0.296
K3 0.643 0.500 0.956
Rb1 0.349 0.000 0.652
Cd1 0.816 0.251 0.478
Sn1 0.085 0.500 0.747
Sn2 0.556 0.000 0.202
```

Properties
Total energy   -1.9804 eV/atom
Crystal system   monoclinic

***

6.
Material: AcBiW
Method: DFT, PBE-GGA
State: relaxed

Structure (CIF):
```
data_AcBiW
_chemical_formula_sum 'Ac4 Bi4 W4'
_cell_length_a 7.314
_cell_length_b 7.314
_cell_length_c 7.314
_cell_angle_alpha 90.00
_cell_angle_beta 90.00
_cell_angle_gamma 90.00
_space_group_name_H-M_alt 'F -4 3 m'
_space_group_IT_number 216
_space_group_name_Hall 'F -4 2 3'
loop_
_atom_site_label
_atom_site_fract_x
_atom_site_fract_y
_atom_site_fract_z
Ac1 0.000 0.000 0.000
Bi1 0.250 0.250 0.250
W1 0.000 0.000 0.500
```

Properties
Distance to the lowest polymorph of the same formula   0.000 eV per atom
Crystal system   cubic